First-principles (PBE-GGA) data for crystalline Sc2IrPt at its relaxed geometry, as listed in Alexandria. Values from VASP.

Values from the calculation:
Uncorrected energy   -7.90 eV/atom
Formation enthalpy at 0 K   -1005.9 meV per atom
Space-group type   Amm2 (38)
Density   10.926 g/cm3

Cell and atoms, written as Quantum ESPRESSO input:
```
&SYSTEM
  ibrav = 0, nat = 4, ntyp = 3
/
ATOMIC_SPECIES
Sc 44.96 Sc.upf
Ir 192.22 Ir.upf
Pt 195.08 Pt.upf
CELL_PARAMETERS angstrom
5.271 0.004 0.002
4.296 3.053 0.002
-0.002 -0.001 4.512
ATOMIC_POSITIONS angstrom
Sc 0.149 0.048 0.564
Sc 7.009 2.240 2.823
Ir 4.463 1.426 2.821
Pt 2.726 0.871 0.565
```

***

First-principles (PBE-GGA) data for crystalline LaCuSn2 at its relaxed geometry, as listed in Alexandria. Values from VASP.

Values from the calculation:
Uncorrected energy   -4.44 eV/atom
Formation enthalpy at 0 K   -185.9 meV per atom
Space-group type   I-42d (122)
Density   6.237 g/cm3

Cell and atoms, written as Quantum ESPRESSO input:
```
&SYSTEM
  ibrav = 0, nat = 8, ntyp = 3
/
ATOMIC_SPECIES
Sn 118.71 Sn.upf
Cu 63.55 Cu.upf
La 138.91 La.upf
CELL_PARAMETERS angstrom
5.099 0.000 0.000
0.000 5.099 0.000
2.550 2.550 9.008
ATOMIC_POSITIONS angstrom
Sn 1.828 3.824 2.252
Sn 3.271 1.275 2.252
Sn 6.374 5.820 6.756
Sn 3.824 4.378 6.756
Cu 2.550 5.099 4.504
Cu 2.550 2.550 0.000
La 0.000 0.000 0.000
La 5.099 2.550 4.504
```

***

First-principles (PBE-GGA) data for crystalline TeIr2Au at its relaxed geometry, as listed in Alexandria. Values from VASP.

Values from the calculation:
Uncorrected energy   -5.50 eV/atom
ΔE to the lowest computed polymorph   248 meV per atom
Formation energy without anion corrections   0.540 eV per atom
Space-group type   I-42d (122)
Density   15.743 g/cm3

Cell and atoms, written as Quantum ESPRESSO input:
```
&SYSTEM
  ibrav = 0, nat = 8, ntyp = 3
/
ATOMIC_SPECIES
Ir 192.22 Ir.upf
Au 196.97 Au.upf
Te 127.60 Te.upf
CELL_PARAMETERS angstrom
7.328 0.000 0.000
0.000 7.328 0.000
3.664 3.664 2.785
ATOMIC_POSITIONS angstrom
Ir 9.160 8.972 2.089
Ir 5.496 5.684 2.089
Ir 2.020 5.496 0.696
Ir 5.308 1.832 0.696
Au 0.000 0.000 0.000
Au 7.328 3.664 1.393
Te 3.664 3.664 0.000
Te 3.664 7.328 1.393
```